No. 1
Computed, not measured: a relaxed structure of PIrW2 at the GGA-PBE level of DFT.

a b c (Å): 8.711 8.711 8.711
angles (deg): 18.68 18.68 18.68
Element x y z (fractional)
P 0.000 0.000 0.000
Ir 0.500 0.500 0.500
W 0.254 0.254 0.254
W 0.746 0.746 0.746

Summary:
* energy of formation: 0.0635 eV/atom
* symmetry: No. 166

=====

No. 2
Computed, not measured: a relaxed structure of Tb5Dy2HoSc at the GGA-PBE level of DFT.

a b c (Å): 10.354 10.354 10.344
angles (deg): 90.00 90.00 149.07
Element x y z (fractional)
Tb 0.017 0.983 0.500
Tb 0.125 0.875 0.779
Tb 0.200 0.800 0.464
Tb 0.225 0.775 0.079
Tb 0.483 0.517 0.774
Tb 0.517 0.483 0.274
Tb 0.775 0.225 0.579
Tb 0.800 0.200 0.964
Tb 0.875 0.125 0.279
Tb 0.983 0.017 0.000
Dy 0.386 0.614 0.496
Dy 0.388 0.612 0.070
Dy 0.612 0.388 0.570
Dy 0.614 0.386 0.996
Ho 0.092 0.908 0.217
Ho 0.908 0.092 0.717
Sc 0.305 0.695 0.774
Sc 0.695 0.305 0.274

Summary:
* energy of formation: 0.1624 eV/atom
* symmetry: No. 36

=====

No. 3
Computed, not measured: a relaxed structure of NpTl3Sn2Te6 at the GGA-PBE level of DFT.

a b c (Å): 7.898 7.898 8.305
angles (deg): 99.08 99.08 119.80
Element x y z (fractional)
Np 0.000 0.000 0.000
Tl 0.171 0.829 0.500
Tl 0.500 0.500 0.500
Tl 0.829 0.171 0.500
Sn 0.334 0.666 0.000
Sn 0.666 0.334 0.000
Te 0.070 0.387 0.212
Te 0.244 0.244 0.782
Te 0.387 0.070 0.212
Te 0.613 0.930 0.788
Te 0.756 0.756 0.218
Te 0.930 0.613 0.788

Summary:
* symmetry: No. 12
* uncorrected formation energy: -0.3852 eV per atom

=====

No. 4
Computed, not measured: a relaxed structure of CaZnGa4 at the GGA-PBE level of DFT.

a b c (Å): 5.560 5.560 5.560
angles (deg): 60.00 60.00 60.00
Element x y z (fractional)
Ca 0.000 0.000 0.000
Zn 0.250 0.250 0.250
Ga 0.126 0.625 0.625
Ga 0.625 0.126 0.625
Ga 0.625 0.625 0.126
Ga 0.625 0.625 0.625

Summary:
* energy of formation: -0.1601 eV/atom
* symmetry: No. 216

=====

No. 5
Computed, not measured: a relaxed structure of CePr2Tl2 at the GGA-PBE level of DFT.

a b c (Å): 6.241 6.241 6.241
angles (deg): 132.91 108.55 90.06
Element x y z (fractional)
Ce 0.000 0.000 0.000
Pr 0.305 0.805 0.500
Pr 0.695 0.195 0.500
Tl 0.286 0.500 0.786
Tl 0.714 0.500 0.214

Summary:
* ΔE to the lowest computed polymorph: 0.0000 eV/atom
* energy of formation: -0.2289 eV/atom
* symmetry: No. 71

=====

No. 6
Computed, not measured: a relaxed structure of NdDyHo2 at the GGA-PBE level of DFT.

a b c (Å): 3.567 3.567 10.094
angles (deg): 90.00 90.00 90.00
Element x y z (fractional)
Nd 0.000 0.000 0.000
Dy 0.000 0.000 0.500
Ho 0.500 0.500 0.255
Ho 0.500 0.500 0.745

Summary:
* ΔE to the lowest computed polymorph: 0.0230 eV/atom
* energy of formation: 0.0223 eV/atom
* symmetry: No. 123

=====

Final energy (computed, eV per atom): -9.98 -4.64 -4.29 -2.72 -4.27 -4.61
V (computed, Å³ per cell): 59.2 570.0 426.7 121.5 160.3 128.5